The following is a DFT calculation (PBE-GGA) of PaHgRu2 after structural relaxation.

energy above the most stable polymorph in this dataset: 132 meV/atom
energy of formation: -155 meV/atom
total magnetic moment: 0.00 μB/atom

Cell lengths 4.7122, 4.7122, 4.7122 Å; angles 60.00, 60.00, 60.00 degrees
Last column: nearest neighbours and their distance in Å.
Element x y z (fractional)
Pa  0.5000  0.5000  0.5000  8 Ru 2.89
Ru  0.2500  0.2500  0.2500  4 Hg 2.89, 4 Pa 2.89
Ru  0.7500  0.7500  0.7500  4 Hg 2.89, 4 Pa 2.89
Hg  0.0000  0.0000  0.0000  8 Ru 2.89


The following is a DFT calculation (PBE-GGA) of Pa2HgS after structural relaxation.

total magnetic moment: 0.00 μB/atom
energy relative to the elements, uncorrected: -2.34 eV/f.u.

Cell lengths 3.8560, 3.8560, 7.9971 Å; angles 76.05, 76.05, 60.00 degrees
Last column: nearest neighbours and their distance in Å.
Element x y z (fractional)
S  0.5000  0.5000  0.5000  6 Pa 2.70
Pa  0.7671  0.7671  0.6987  3 S 2.70
Hg  0.0000  0.0000  0.0000  6 Pa 3.21
Pa  0.2329  0.2329  0.3013  3 S 2.70


| no. | DOS at the Fermi energy (states/eV/cell) |
| --- | --- |
| 1 | 3.4 |
| 2 | 6.4 |